No. 1
# Ac6Se3S2N

A relaxed structure of Ac6Se3S2N (PBE-GGA, Alexandria via LeMat-Bulk).

Computed properties:
* crystal system: monoclinic
* uncorrected energy: -6.081 eV/atom
* uncorrected formation energy: -1.77 eV/atom

Unit cell a=7.438 b=7.438 c=7.592 alpha=99.42 beta=99.42 gamma=119.97
Atoms (fractional coordinates):
1 Ac 0.073 0.385 0.219
2 Ac 0.238 0.238 0.777
3 Ac 0.385 0.073 0.219
4 Ac 0.615 0.927 0.781
5 Ac 0.762 0.762 0.223
6 Ac 0.927 0.615 0.781
7 Se 0.173 0.827 0.500
8 Se 0.500 0.500 0.500
9 Se 0.827 0.173 0.500
10 S 0.334 0.666 0.000
11 S 0.666 0.334 0.000
12 N 0.000 0.000 0.000

***

No. 2
# TbZrPb2

A relaxed structure of TbZrPb2 (PBE-GGA, Alexandria via LeMat-Bulk).

Computed properties:
* crystal system: trigonal
* uncorrected energy: -5.375 eV/atom
* formation energy: -0.2267 eV/atom

Unit cell a=4.879 b=4.879 c=15.909 alpha=90.00 beta=90.00 gamma=120.00
Atoms (fractional coordinates):
1 Tb 0.000 0.000 0.000
2 Tb 0.333 0.667 0.667
3 Tb 0.667 0.333 0.333
4 Zr 0.000 0.000 0.500
5 Zr 0.333 0.667 0.167
6 Zr 0.667 0.333 0.833
7 Pb 0.000 0.000 0.244
8 Pb 0.000 0.000 0.756
9 Pb 0.333 0.667 0.423
10 Pb 0.333 0.667 0.910
11 Pb 0.667 0.333 0.090
12 Pb 0.667 0.333 0.577

***

No. 3
# TiInAg

A relaxed structure of TiInAg (PBE-GGA, Alexandria via LeMat-Bulk).

Computed properties:
* crystal system: monoclinic
* uncorrected energy: -4.533 eV/atom
* formation energy: -0.0377 eV/atom

Unit cell a=4.657 b=3.048 c=8.170 alpha=90.00 beta=93.80 gamma=90.00
Atoms (fractional coordinates):
1 Ti 0.196 0.250 0.102
2 Ti 0.804 0.750 0.898
3 In 0.285 0.250 0.762
4 In 0.715 0.750 0.238
5 Ag 0.241 0.750 0.437
6 Ag 0.759 0.250 0.563